The following is a DFT calculation (GGA-PBE) of Cs2SiRuCl6 after structural relaxation.

Summary:
The energy relative to the elements, uncorrected comes out at -1.006 eV per atom. The total energy is -3.754 eV per atom. The space group is Fm-3m (225).

a = 7.175 Å, b = 7.175 Å, c = 7.174 Å
α = 59.99°, β = 59.99°, γ = 90.00°
Sites, in units of the cell vectors:
1 Si 0.500 0.500 0.000
2 Ru 0.000 0.000 0.000
3 Cs 0.250 0.750 0.500
4 Cs 0.750 0.250 0.500
5 Cl 0.756 0.756 0.487
6 Cl 0.756 0.244 0.000
7 Cl 0.244 0.756 0.000
8 Cl 0.244 0.244 0.513
9 Cl 0.756 0.756 0.000
10 Cl 0.244 0.244 0.000